Here is a relaxed structure of MnTl2As from Alexandria. Energies are from PBE.

a b c (Å): 4.2370 4.2370 7.2488
angles (deg): 106.87 106.87 59.92
Element x y z (fractional)
Mn (0.0000, 0.0000, 0.0000)
Tl (0.2373, 0.2373, 0.7113)
Tl (0.4497, 0.4497, 0.3507)
As (0.6806, 0.6806, 0.0407)

## Properties
* space-group type: Cm
* energy relative to the lowest polymorph listed for this composition: 18 meV per atom
* energy relative to the elements: 0.0978 eV per atom



Here is a relaxed structure of CaSe2NCl from Alexandria. Energies are from PBE.

a b c (Å): 5.1929 5.1929 3.9593
angles (deg): 90.00 90.00 90.00
Element x y z (fractional)
Ca (0.0000, 0.0000, 0.0000)
Se (0.0000, 0.5000, 0.5000)
Se (0.5000, 0.0000, 0.5000)
N (0.5000, 0.5000, 0.0000)
Cl (0.5000, 0.5000, 0.5000)

## Properties
* space-group type: P4/mmm
* ΔE_f (raw): 0.54 eV per atom
* energy relative to the lowest polymorph listed for this composition: 0 meV per atom



Here is a relaxed structure of CeMgNiPd from Alexandria. Energies are from PBE.

a b c (Å): 4.7562 4.7562 4.7562
angles (deg): 60.00 60.00 60.00
Element x y z (fractional)
Ce (0.0000, 0.0000, 0.0000)
Mg (0.5000, 0.5000, 0.5000)
Ni (0.7500, 0.7500, 0.7500)
Pd (0.2500, 0.2500, 0.2500)

## Properties
* space-group type: F-43m
* energy relative to the elements: -0.4183 eV per atom



Number 1: mass density 8.43 g/cm3, volume 106.1 Å³ per cell. Number 2: mass density 3.85 g/cm3, volume 106.8 Å³ per cell. Number 3: mass density 7.19 g/cm3, volume 76.1 Å³ per cell.